The following is a DFT calculation (PBE) of a geometry-optimized PmPr7 structure.

a b c (Å): 7.4150 7.4150 7.4150
angles (deg): 60.00 60.00 60.00
Last column: nearest neighbours and their distance in Å.
Fractional positions:
Pm 0.0000 0.0000 0.0000  12 Pr 3.71
Pr 0.0000 0.0000 0.5000  10 Pr 3.71, 2 Pm 3.71
Pr 0.0000 0.5000 0.0000  10 Pr 3.71, 2 Pm 3.71
Pr 0.0000 0.5000 0.5000  10 Pr 3.71, 2 Pm 3.71
Pr 0.5000 0.0000 0.0000  10 Pr 3.71, 2 Pm 3.71
Pr 0.5000 0.0000 0.5000  10 Pr 3.71, 2 Pm 3.71
Pr 0.5000 0.5000 0.0000  10 Pr 3.71, 2 Pm 3.71
Pr 0.5000 0.5000 0.5000  12 Pr 3.71

Properties
Total DFT energy (no corrections) (eV/f.u.): -38.16
Symmetry: Fm-3m, No. 225
Energy of formation (eV per formula unit): 0.1
Calculated density (Mg/m³): 6.52

---

The following is a DFT calculation (PBE) of a geometry-optimized CdIn3Ge structure.

a b c (Å): 5.4172 5.4172 5.4172
angles (deg): 90.00 90.00 90.00
Last column: nearest neighbours and their distance in Å.
Fractional positions:
Cd 0.0000 0.0000 0.0000  12 In 3.83
In 0.0000 0.5000 0.5000  2 Ge 2.71
In 0.5000 0.0000 0.5000  2 Ge 2.71
In 0.5000 0.5000 0.0000  2 Ge 2.71
Ge 0.5000 0.5000 0.5000  6 In 2.71

Properties
Energy above the lowest structure with this stoichiometry (eV per atom): 0.000
Total DFT energy (no corrections) (eV/f.u.): -11.97
Symmetry: Pm-3m, No. 221
Energy of formation (eV per formula unit): 1.8
Calculated density (Mg/m³): 5.53

---

Question: Which value of total DFT energy (no corrections) does entry 1 give?
Answer: -38.16 eV/f.u.